VASP calculation (PBE-GGA) on a relaxed structure of LiMnAl2.

Output
M_tot in μB per formula unit: 0.0
Space group: I-42d, No. 122
Formation energy from the elements in eV per atom: 0.53

abc: 3.7714 3.7714 9.0696
angles: 78.00 78.00 90.00
With the nearest neighbours (Å) after each atom.
Element x y z (fractional)
Al 0.1048 0.6250 0.2500  2 Mn 2.52, 4 Al 2.56-2.78, 2 Li 2.57
Al 0.6452 0.1250 0.2500  2 Mn 2.52, 4 Al 2.56-2.78, 2 Li 2.57
Al 0.3750 0.3548 0.7500  2 Mn 2.52, 4 Al 2.56-2.78, 2 Li 2.57
Al 0.8750 0.8952 0.7500  2 Mn 2.52, 4 Al 2.56-2.78, 2 Li 2.57
Mn 0.0000 0.0000 0.0000  4 Al 2.52, 4 Li 2.67
Mn 0.7500 0.2500 0.5000  4 Al 2.52, 4 Li 2.67
Li 0.5000 0.5000 0.0000  4 Al 2.57, 4 Mn 2.67
Li 0.2500 0.7500 0.5000  4 Al 2.57, 4 Mn 2.67



VASP calculation (PBE-GGA) on a relaxed structure of BeAl2Cu.

Output
M_tot in μB per formula unit: 0.0
Space group: Cm, No. 8
Formation energy from the elements in eV per atom: 0.02

abc: 5.0500 5.0500 4.3770
angles: 74.74 74.74 29.72
With the nearest neighbours (Å) after each atom.
Element x y z (fractional)
Al 0.7723 0.7723 0.6941  4 Cu 2.57-2.60, 2 Al 2.59, 3 Be 2.70-2.71
Al 0.9808 0.9808 0.0509  4 Be 2.56-2.59, 2 Al 2.59, 3 Cu 2.67-2.75
Be 0.5246 0.5246 0.5273  2 Cu 2.40, 4 Al 2.56-2.59, 2 Be 2.59
Cu 0.2224 0.2224 0.2276  2 Be 2.40, 5 Al 2.57-2.67, 2 Cu 2.59



VASP calculation (PBE-GGA) on a relaxed structure of SrBiRhO6.

Output
Energy relative to the elements, uncorrected in meV per atom: -1257
M_tot in μB per formula unit: 2.0
Space group: P-31c, No. 163

abc: 5.4887 5.4887 10.7431
angles: 90.00 90.00 120.00
With the nearest neighbours (Å) after each atom.
Element x y z (fractional)
O 0.3823 0.0269 0.1451  1 Rh 1.98, 1 Bi 2.17
O 0.9731 0.6177 0.3549  1 Rh 1.98, 1 Bi 2.17
O 0.3554 0.9731 0.6451  1 Rh 1.98, 1 Bi 2.17
O 0.3823 0.3554 0.3549  1 Rh 1.98, 1 Bi 2.17
O 0.9731 0.3554 0.1451  1 Rh 1.98, 1 Bi 2.17
O 0.0269 0.6446 0.8549  1 Rh 1.98, 1 Bi 2.17
O 0.0269 0.3823 0.6451  1 Rh 1.98, 1 Bi 2.17
O 0.6177 0.9731 0.8549  1 Rh 1.98, 1 Bi 2.17
O 0.3554 0.3823 0.8549  1 Rh 1.98, 1 Bi 2.17
O 0.6177 0.6446 0.6451  1 Rh 1.98, 1 Bi 2.17
O 0.6446 0.6177 0.1451  1 Rh 1.98, 1 Bi 2.17
O 0.6446 0.0269 0.3549  1 Rh 1.98, 1 Bi 2.17
Sr 0.0000 0.0000 0.0000  6 O 2.56
Sr 0.0000 0.0000 0.5000  6 O 2.56
Bi 0.6667 0.3333 0.7500  6 O 2.17
Bi 0.3333 0.6667 0.2500  6 O 2.17
Rh 0.3333 0.6667 0.7500  6 O 1.98
Rh 0.6667 0.3333 0.2500  6 O 1.98



VASP calculation (PBE-GGA) on a relaxed structure of VSnSN2.

Output
Energy relative to the elements, uncorrected in meV per atom: 137
M_tot in μB per formula unit: 0.0
Space group: P4/mmm, No. 123

abc: 3.8490 3.8490 4.9331
angles: 90.00 90.00 90.00
With the nearest neighbours (Å) after each atom.
Element x y z (fractional)
S 0.0000 0.0000 0.5000  2 V 2.47, 4 Sn 2.72
Sn 0.5000 0.5000 0.5000  4 S 2.72
N 0.5000 0.0000 0.0000  2 V 1.92
N 0.0000 0.5000 0.0000  2 V 1.92
V 0.0000 0.0000 0.0000  4 N 1.92



VASP calculation (PBE-GGA) on a relaxed structure of Er2PdBr.

Output
Energy relative to the elements, uncorrected in meV per atom: -957
M_tot in μB per formula unit: 0.0
Space group: R3m, No. 160

abc: 4.0460 4.0460 8.0375
angles: 75.42 75.42 60.00
With the nearest neighbours (Å) after each atom.
Element x y z (fractional)
Er 0.2708 0.2708 0.1875  3 Pd 2.76
Er 0.0651 0.0651 0.8048  3 Pd 2.77
Pd 0.6676 0.6676 0.9972  6 Er 2.76-2.77
Br 0.4965 0.4965 0.5105  6 Er 3.25-3.41



VASP calculation (PBE-GGA) on a relaxed structure of MgAsC2F.

Output
Energy relative to the elements, uncorrected in meV per atom: 1169
M_tot in μB per formula unit: 0.1
Space group: P4/mmm, No. 123

abc: 3.7545 5.5572 3.7545
angles: 90.00 90.00 90.00
With the nearest neighbours (Å) after each atom.
Element x y z (fractional)
C 0.0000 0.0000 0.5000  2 As 1.88
C 0.5000 0.0000 0.0000  2 As 1.88
As 0.0000 0.0000 0.0000  4 C 1.88
F 0.5000 0.5000 0.5000  4 Mg 2.65
Mg 0.0000 0.5000 0.0000  4 F 2.65, 2 As 2.78



VASP calculation (PBE-GGA) on a relaxed structure of TlIr4Au.

Output
M_tot in μB per formula unit: 0.0
Space group: F-43m, No. 216
Formation energy from the elements in eV per atom: 0.62

abc: 5.2842 5.2842 5.2842
angles: 60.00 60.00 60.00
With the nearest neighbours (Å) after each atom.
Element x y z (fractional)
Ir 0.3748 0.3748 0.3748  6 Ir 2.64-2.65
Ir 0.3748 0.8755 0.3748  6 Ir 2.64-2.65
Ir 0.3748 0.3748 0.8755  6 Ir 2.64-2.65
Ir 0.8755 0.3748 0.3748  6 Ir 2.64-2.65
Au 0.0000 0.0000 0.0000  12 Ir 3.10, 4 Tl 3.24
Tl 0.7500 0.7500 0.7500  12 Ir 3.10, 4 Au 3.24



VASP calculation (PBE-GGA) on a relaxed structure of CeTaP.

Output
M_tot in μB per formula unit: 0.0
Space group: Cm, No. 8
Formation energy from the elements in eV per atom: -0.63

abc: 3.5947 6.8820 5.4439
angles: 102.54 90.00 105.14
With the nearest neighbours (Å) after each atom.
Element x y z (fractional)
Ta 0.3255 0.6511 0.0164  3 P 2.51-2.70
Ta 0.9561 0.9122 0.3456  2 P 2.57, 1 Ce 2.67, 2 Ta 2.84
P 0.3619 0.7237 0.5477  4 Ta 2.57-2.82, 2 Ce 2.86
P 0.6907 0.3815 0.9377  2 Ta 2.51, 2 Ce 2.71-2.73
Ce 0.0233 0.0466 0.8460  1 Ta 2.67, 4 P 2.82-2.98
Ce 0.6905 0.3811 0.4356  4 P 2.71-2.86